No. 1
## NdSmCuRu (PBE)

Data for a relaxed NdSmCuRu crystal.

The energy above the lowest structure with this stoichiometry comes out at 0.000 eV/atom. Its space group is No. 38. The calculation puts the formation energy at -20.0 kJ per mole of atoms.

abc: 4.3281 5.6943 5.6943
angles: 40.83 90.00 90.00
Closest atoms and distances in Å follow each position.
Element x y z (fractional)
Nd (0.0000, 0.0000, 0.0000)  3 Ru 3.02-3.05, 4 Cu 3.04
Sm (0.5000, 0.2803, 0.2803)  3 Cu 2.98-3.11, 4 Ru 3.01
Cu (0.5000, 0.5721, 0.5721)  2 Ru 2.66, 2 Sm 2.98
Ru (0.0000, 0.7174, 0.7174)  2 Cu 2.66

No. 2
## SrZr2Se (PBE)

Data for a relaxed SrZr2Se crystal.

The calculation puts the formation energy (no corrections) at -0.152 eV per atom. Its space group is No. 10.

abc: 3.7680 5.4031 5.1876
angles: 90.00 96.85 90.00
Closest atoms and distances in Å follow each position.
Element x y z (fractional)
Sr (0.0000, 0.0000, 0.0000)  2 Se 3.02
Zr (0.3793, 0.5000, 0.7305)  2 Zr 2.66-2.84
Zr (0.6207, 0.5000, 0.2695)  2 Zr 2.66-2.84
Se (0.5000, 0.0000, 0.5000)  4 Zr 3.01, 2 Sr 3.02

No. 3
## BeAgBr3 (PBE)

Data for a relaxed BeAgBr3 crystal.

The energy above the lowest structure with this stoichiometry comes out at 1.153 eV/atom. The calculation puts the formation energy (no corrections) at 0.485 eV per atom. Its space group is No. 221.

abc: 5.3047 5.3047 5.3047
angles: 90.00 90.00 90.00
Closest atoms and distances in Å follow each position.
Element x y z (fractional)
Be (0.0000, 0.0000, 0.0000)  12 Br 3.75
Ag (0.5000, 0.5000, 0.5000)  6 Br 2.65
Br (0.0000, 0.5000, 0.5000)  2 Ag 2.65
Br (0.5000, 0.0000, 0.5000)  2 Ag 2.65
Br (0.5000, 0.5000, 0.0000)  2 Ag 2.65

No. 4
## LiAgTe2 (PBE)

Data for a relaxed LiAgTe2 crystal.

The calculation puts the formation energy (no corrections) at -0.248 eV per atom. Its space group is No. 166.

abc: 7.8594 7.8594 7.8594
angles: 28.58 28.58 28.58
Closest atoms and distances in Å follow each position.
Element x y z (fractional)
Li (0.0000, 0.0000, 0.0000)  6 Te 2.95
Ag (0.5000, 0.5000, 0.5000)  6 Te 2.91
Te (0.2486, 0.2486, 0.2486)  3 Ag 2.91, 3 Li 2.95
Te (0.7514, 0.7514, 0.7514)  3 Ag 2.91, 3 Li 2.95

No. 5
## Na4Bi2I (PBE)

Data for a relaxed Na4Bi2I crystal.

The calculation puts the formation energy (no corrections) at -0.309 eV per atom. Its space group is No. 139.

abc: 8.7355 8.7355 8.7355
angles: 138.86 138.86 59.58
Closest atoms and distances in Å follow each position.
Element x y z (fractional)
Na (0.0000, 0.5000, 0.5000)  2 I 3.07, 4 Bi 3.41
Na (0.1964, 0.1964, 0.0000)  1 I 2.98, 1 Bi 3.11
Na (0.5000, 0.0000, 0.5000)  2 I 3.07, 4 Bi 3.41
Na (0.8036, 0.8036, 0.0000)  1 I 2.98, 1 Bi 3.11
Bi (0.4015, 0.4015, 0.0000)  1 Bi 2.99, 1 Na 3.11
Bi (0.5985, 0.5985, 0.0000)  1 Bi 2.99, 1 Na 3.11
I (0.0000, 0.0000, 0.0000)  6 Na 2.98-3.07

No. 6
## ZrAs2Ru (PBE)

Data for a relaxed ZrAs2Ru crystal.

The energy above the lowest structure with this stoichiometry comes out at 0.080 eV/atom. Its space group is No. 166. The calculation puts the formation energy at -50.7 kJ per mole of atoms.

abc: 5.7728 5.7728 5.7728
angles: 39.88 39.88 39.88
Closest atoms and distances in Å follow each position.
Element x y z (fractional)
Zr (0.0000, 0.0000, 0.0000)  6 As 2.74
As (0.2369, 0.2369, 0.2369)  3 Ru 2.53, 3 Zr 2.74
As (0.7631, 0.7631, 0.7631)  3 Ru 2.53, 3 Zr 2.74
Ru (0.5000, 0.5000, 0.5000)  6 As 2.53

No. 7
## SiB3Sb (PBE)

Data for a relaxed SiB3Sb crystal.

The energy above the lowest structure with this stoichiometry comes out at 0.000 eV/atom. The calculation puts the formation energy (no corrections) at 1.442 eV per atom. Its space group is No. 221.

abc: 4.0970 4.0970 4.0970
angles: 90.00 90.00 90.00
Closest atoms and distances in Å follow each position.
Element x y z (fractional)
Si (0.0000, 0.0000, 0.0000)  6 B 2.05
B (0.0000, 0.0000, 0.5000)  2 Si 2.05
B (0.0000, 0.5000, 0.0000)  2 Si 2.05
B (0.5000, 0.0000, 0.0000)  2 Si 2.05
Sb (0.5000, 0.5000, 0.5000)  12 B 2.90

No. 8
## AgS3O9 (PBE)

Data for a relaxed AgS3O9 crystal.

The calculation puts the formation energy (no corrections) at -0.845 eV per atom. Its space group is No. 20.

abc: 7.3098 7.3098 7.8294
angles: 90.00 90.00 101.73
Closest atoms and distances in Å follow each position.
Element x y z (fractional)
Ag (0.1403, 0.1403, 0.0000)  2 O 2.46
Ag (0.8597, 0.8597, 0.5000)  2 O 2.46
S (0.2266, 0.2266, 0.5000)  4 O 1.45-1.56
S (0.3064, 0.6585, 0.5513)  2 O 1.44
S (0.3415, 0.6936, 0.9487)  2 O 1.44
S (0.6585, 0.3064, 0.4487)  2 O 1.44
S (0.6936, 0.3415, 0.0513)  2 O 1.44
S (0.7734, 0.7734, 0.0000)  4 O 1.45-1.56
O (0.1021, 0.1861, 0.6460)  1 S 1.45
O (0.1358, 0.7276, 0.5652)  1 S 1.44
O (0.1861, 0.1021, 0.3540)  1 S 1.45
O (0.2304, 0.4240, 0.4237)  1 S 1.56
O (0.2407, 0.5382, 0.0457)  1 S 1.44
O (0.2724, 0.8642, 0.9348)  1 S 1.44
O (0.3835, 0.6165, 0.7500)  2 S 1.70
O (0.4240, 0.2304, 0.5763)  1 S 1.56
O (0.4618, 0.7593, 0.4543)  1 S 1.44
O (0.5382, 0.2407, 0.9543)  1 S 1.44
O (0.5760, 0.7696, 0.0763)  1 S 1.56
O (0.6165, 0.3835, 0.2500)  2 S 1.70
O (0.7276, 0.1358, 0.4348)  1 S 1.44
O (0.7593, 0.4618, 0.5457)  1 S 1.44
O (0.7696, 0.5760, 0.9237)  1 S 1.56
O (0.8139, 0.8979, 0.8540)  1 S 1.45
O (0.8642, 0.2724, 0.0652)  1 S 1.44
O (0.8979, 0.8139, 0.1460)  1 S 1.45

No. 9
## PrMgZnPb (PBE)

Data for a relaxed PrMgZnPb crystal.

Its space group is No. 216. The calculation puts the formation energy at -21.8 kJ per mole of atoms.

abc: 5.2433 5.2433 5.2433
angles: 60.00 60.00 60.00
Closest atoms and distances in Å follow each position.
Element x y z (fractional)
Pr (0.0000, 0.0000, 0.0000)  4 Pb 3.21, 4 Zn 3.21
Mg (0.5000, 0.5000, 0.5000)  4 Pb 3.21, 4 Zn 3.21
Zn (0.7500, 0.7500, 0.7500)  4 Pr 3.21, 4 Mg 3.21
Pb (0.2500, 0.2500, 0.2500)  4 Pr 3.21, 4 Mg 3.21

No. 10
## Li2Bi2Au (PBE)

Data for a relaxed Li2Bi2Au crystal.

The energy above the lowest structure with this stoichiometry comes out at 0.411 eV/atom. Its space group is No. 139. The calculation puts the formation energy at 8.6 kJ per mole of atoms.

abc: 7.1283 7.1283 7.1283
angles: 144.50 144.50 51.08
Closest atoms and distances in Å follow each position.
Element x y z (fractional)
Li (0.2500, 0.7500, 0.5000)  4 Bi 2.82, 4 Li 3.07
Li (0.7500, 0.2500, 0.5000)  4 Bi 2.82, 4 Li 3.07
Bi (0.1104, 0.1104, 0.0000)  4 Li 2.82, 1 Bi 2.84
Bi (0.8896, 0.8896, 0.0000)  4 Li 2.82, 1 Bi 2.84
Au (0.5000, 0.5000, 0.0000)  8 Bi 3.39

No. 11
## Ga4FeCo2 (PBE)

Data for a relaxed Ga4FeCo2 crystal.

Its space group is No. 139. The calculation puts the formation energy at -21.2 kJ per mole of atoms.

abc: 4.9561 4.9561 4.9561
angles: 110.11 110.11 108.21
Closest atoms and distances in Å follow each position.
Element x y z (fractional)
Ga (0.0000, 0.0000, 0.5000)  2 Fe 2.48, 4 Co 2.48
Ga (0.0000, 0.5000, 0.0000)  2 Fe 2.48, 4 Co 2.48
Ga (0.5000, 0.0000, 0.0000)  2 Fe 2.48, 4 Co 2.48
Ga (0.5000, 0.5000, 0.5000)  2 Fe 2.48, 4 Co 2.48
Fe (0.0000, 0.0000, 0.0000)  8 Ga 2.48
Co (0.0000, 0.5000, 0.5000)  8 Ga 2.48
Co (0.5000, 0.0000, 0.5000)  8 Ga 2.48

No. 12
## Tb4BiTe2 (PBE)

Data for a relaxed Tb4BiTe2 crystal.

The calculation puts the formation energy (no corrections) at -0.938 eV per atom. Its space group is No. 63.

abc: 7.2872 7.2872 14.7069
angles: 90.00 90.00 146.07
Closest atoms and distances in Å follow each position.
Element x y z (fractional)
Tb (0.0000, 0.0000, 0.0000)  4 Te 3.04
Tb (0.0000, 0.0000, 0.5000)  4 Te 3.04
Tb (0.2822, 0.7178, 0.6308)  3 Te 2.99-3.07, 2 Bi 3.26
Tb (0.2822, 0.7178, 0.8692)  3 Te 2.99-3.07, 2 Bi 3.26
Tb (0.4270, 0.5730, 0.2500)  2 Te 2.96, 2 Bi 3.14
Tb (0.5730, 0.4270, 0.7500)  2 Te 2.96, 2 Bi 3.14
Tb (0.7178, 0.2822, 0.1308)  3 Te 2.99-3.07, 2 Bi 3.26
Tb (0.7178, 0.2822, 0.3692)  3 Te 2.99-3.07, 2 Bi 3.26
Bi (0.0931, 0.9069, 0.2500)  6 Tb 3.14-3.26
Bi (0.9069, 0.0931, 0.7500)  6 Tb 3.14-3.26
Te (0.3574, 0.6426, 0.0595)  6 Tb 2.96-3.07
Te (0.3574, 0.6426, 0.4405)  6 Tb 2.96-3.07
Te (0.6426, 0.3574, 0.5595)  6 Tb 2.96-3.07
Te (0.6426, 0.3574, 0.9405)  6 Tb 2.96-3.07